# 1
! HfMg3Cr PBE relaxed; values from VASP
! Space-group type: Pm-3m
! Energy relative to the lowest polymorph listed for this composition in meV per atom: 592
! Fermi-level density of states in states/eV per atom: 0.90
&SYSTEM
  ibrav = 0, nat = 5, ntyp = 3
/
ATOMIC_SPECIES
Hf 178.49 Hf.upf
Mg 24.30 Mg.upf
Cr 52.00 Cr.upf
CELL_PARAMETERS angstrom
5.5280 0.0000 0.0000
0.0000 5.5280 0.0000
0.0000 0.0000 5.5280
ATOMIC_POSITIONS crystal
Hf 0.0000 0.0000 0.0000
Mg 0.0000 0.0000 0.5000
Mg 0.0000 0.5000 0.0000
Mg 0.5000 0.0000 0.0000
Cr 0.5000 0.5000 0.5000



# 2
! HfMgCrN2 PBE relaxed; values from VASP
! Space-group type: P4/mmm
! Energy relative to the lowest polymorph listed for this composition in meV per atom: 1059
! Fermi-level density of states in states/eV per atom: 1.19
! Energy relative to the elements, uncorrected in kJ per mole of atoms: 191
&SYSTEM
  ibrav = 0, nat = 5, ntyp = 4
/
ATOMIC_SPECIES
Hf 178.49 Hf.upf
Mg 24.30 Mg.upf
Cr 52.00 Cr.upf
N 14.01 N.upf
CELL_PARAMETERS angstrom
3.8506 0.0000 0.0000
0.0000 3.8506 0.0000
0.0000 0.0000 5.2162
ATOMIC_POSITIONS crystal
Hf 0.0000 0.0000 0.0000
Mg 0.0000 0.0000 0.5000
Cr 0.5000 0.5000 0.0000
N 0.0000 0.5000 0.5000
N 0.5000 0.0000 0.5000



# 3
! HfMgCrN2 PBE relaxed; values from VASP
! Space-group type: P4/mmm
! Energy relative to the lowest polymorph listed for this composition in meV per atom: 0
! Fermi-level density of states in states/eV per atom: 0.77
! Energy relative to the elements, uncorrected in kJ per mole of atoms: 89
&SYSTEM
  ibrav = 0, nat = 5, ntyp = 4
/
ATOMIC_SPECIES
Hf 178.49 Hf.upf
Mg 24.30 Mg.upf
Cr 52.00 Cr.upf
N 14.01 N.upf
CELL_PARAMETERS angstrom
3.8676 0.0000 0.0000
0.0000 3.8676 0.0000
0.0000 0.0000 4.9179
ATOMIC_POSITIONS crystal
Hf 0.0000 0.0000 0.0000
Mg 0.5000 0.5000 0.0000
Cr 0.0000 0.0000 0.5000
N 0.0000 0.5000 0.5000
N 0.5000 0.0000 0.5000



The records above yield total energy values of -3.31, -5.59, -6.65 eV/atom, respectively.
The records above yield magnetic moment values of 3.14, 0.00, 0.01 μB/cell, respectively.